Record 1
# BaSrSb2

BaSrSb2 at its PBEsol-relaxed geometry (SCAN, the Alexandria database).

```
BaSrSb2
1.0
0.000 4.088 4.088
4.088 0.000 4.088
4.088 4.088 0.000
Ba Sr Sb
1 1 2
Direct
0.000 0.000 0.000
0.500 0.500 0.500
0.250 0.250 0.250
0.750 0.750 0.750
```

Output
raw formation energy = -0.8641 eV per atom
size of the total moment = 0.0 μB/cell

Record 2
# La2CrF

La2CrF at its PBEsol-relaxed geometry (SCAN, the Alexandria database).

```
La2CrF
1.0
0.000 3.509 3.509
3.509 0.000 3.509
3.509 3.509 0.000
La Cr F
2 1 1
Direct
0.250 0.250 0.250
0.750 0.750 0.750
0.000 0.000 0.000
0.500 0.500 0.500
```

Output
raw formation energy = -0.6083 eV per atom
size of the total moment = 3.1 μB/cell

Record 3
# CaAlAu2

CaAlAu2 at its PBEsol-relaxed geometry (SCAN, the Alexandria database).

```
CaAlAu2
1.0
3.577 0.000 0.000
0.000 4.694 0.000
0.000 0.000 5.086
Ca Al Au
1 1 2
Direct
0.000 0.000 0.000
0.500 0.500 0.673
0.500 0.000 0.494
0.500 0.500 0.167
```

Output
formation energy from the elements = -17.583 kcal/mol of atoms
size of the total moment = 0.0 μB/cell